BeC2N after structural relaxation. Source: Alexandria, functional PBE.

a = 4.170 Å, b = 2.690 Å, c = 4.246 Å
α = 71.45°, β = 63.43°, γ = 89.86°
Atoms (fractional coordinates):
C 0.784 0.479 0.498
C 0.452 0.303 0.849
Be 0.262 0.620 0.220
N 0.473 0.486 0.485

Properties
formation energy from raw total energies = 0.6751 eV/atom
offset from the most stable computed form = 535.9 meV per atom
volume = 10.0 Å³/atom
size of the total moment = 0.00 μB per formula unit


Rb2CaBiF after structural relaxation. Source: Alexandria, functional PBE.

a = 5.305 Å, b = 5.305 Å, c = 5.725 Å
α = 90.00°, β = 90.00°, γ = 90.00°
Atoms (fractional coordinates):
F 0.000 0.000 0.000
Bi 0.500 0.500 0.500
Rb 0.000 0.500 0.000
Rb 0.500 0.000 0.000
Ca 0.000 0.000 0.500

Properties
formation energy from raw total energies = -1.2868 eV/atom
volume = 32.2 Å³/atom
size of the total moment = 0.00 μB per formula unit


TaBe2Pd after structural relaxation. Source: Alexandria, functional PBE.

a = 4.126 Å, b = 4.126 Å, c = 4.126 Å
α = 60.00°, β = 60.00°, γ = 60.00°
Last column: magnetic moment on the atom in μB.
Atoms (fractional coordinates):
Be 0.750 0.750 0.750  0.03
Be 0.250 0.250 0.250  0.03
Ta 0.500 0.500 0.500  0.56
Pd 0.000 0.000 0.000  0.22

Properties
calculated formation energy = -4.4 kJ per mole of atoms
offset from the most stable computed form = 243.1 meV per atom
volume = 12.4 Å³/atom
size of the total moment = 1.03 μB per formula unit


YH2Rh after structural relaxation. Source: Alexandria, functional PBE.

a = 4.400 Å, b = 4.400 Å, c = 5.855 Å
α = 67.93°, β = 67.93°, γ = 90.00°
Atoms (fractional coordinates):
Y 0.500 0.500 0.000
Y 0.250 0.750 0.500
H 0.375 0.274 0.750
H 0.875 0.976 0.750
H 0.726 0.125 0.250
H 0.024 0.625 0.250
Rh 0.750 0.250 0.500
Rh 0.000 0.000 0.000

Properties
offset from the most stable computed form = 67.7 meV per atom
volume = 12.0 Å³/atom
size of the total moment = 0.00 μB per formula unit


Nd7Er2Sc2 after structural relaxation. Source: Alexandria, functional PBE.

a = 6.666 Å, b = 10.062 Å, c = 6.666 Å
α = 90.00°, β = 122.10°, γ = 90.00°
Atoms (fractional coordinates):
Nd 0.500 0.792 0.500
Nd 0.500 0.317 0.000
Nd 0.000 0.000 0.000
Nd 0.000 0.317 0.500
Nd 0.500 0.683 0.000
Nd 0.000 0.683 0.500
Nd 0.500 0.208 0.500
Sc 0.747 0.500 0.747
Sc 0.253 0.500 0.253
Er 0.714 0.000 0.286
Er 0.286 0.000 0.714

Properties
calculated formation energy = 33.9 kJ per mole of atoms
offset from the most stable computed form = 204.8 meV per atom
volume = 34.4 Å³/atom
size of the total moment = 0.00 μB per formula unit


SrSb after structural relaxation. Source: Alexandria, functional PBE.

a = 13.662 Å, b = 10.983 Å, c = 7.743 Å
α = 90.00°, β = 90.00°, γ = 90.00°
Atoms (fractional coordinates):
Sb 0.000 0.500 0.309
Sb 0.750 0.250 0.441
Sb 0.250 0.750 0.059
Sb 0.500 0.500 0.191
Sb 0.750 0.250 0.059
Sb 0.750 0.750 0.559
Sb 0.250 0.750 0.441
Sb 0.000 0.000 0.191
Sb 0.000 0.500 0.691
Sb 0.250 0.250 0.941
Sb 0.500 0.000 0.309
Sb 0.500 0.000 0.691
Sb 0.750 0.750 0.941
Sb 0.250 0.250 0.559
Sb 0.000 0.000 0.809
Sb 0.500 0.500 0.809
Sr 0.500 0.223 0.000
Sr 0.000 0.277 0.000
Sr 0.250 0.973 0.750
Sr 0.000 0.723 0.000
Sr 0.250 0.527 0.750
Sr 0.750 0.473 0.750
Sr 0.000 0.223 0.500
Sr 0.750 0.527 0.250
Sr 0.750 0.973 0.250
Sr 0.250 0.473 0.250
Sr 0.750 0.027 0.750
Sr 0.000 0.777 0.500
Sr 0.250 0.027 0.250
Sr 0.500 0.277 0.500
Sr 0.500 0.777 0.000
Sr 0.500 0.723 0.500

Properties
formation energy from raw total energies = -0.8560 eV/atom
volume = 36.3 Å³/atom
size of the total moment = 0.00 μB per formula unit


PuAgSbH after structural relaxation. Source: Alexandria, functional PBE.

a = 4.254 Å, b = 4.254 Å, c = 8.167 Å
α = 90.00°, β = 90.00°, γ = 90.00°
Last column: magnetic moment on the atom in μB.
Atoms (fractional coordinates):
Ag 0.000 0.000 0.500  -0.03
Ag 0.500 0.500 0.500  -0.03
Pu 0.000 0.500 0.876  5.17
Pu 0.500 0.000 0.124  5.17
Sb 0.500 0.000 0.733  -0.10
Sb 0.000 0.500 0.267  -0.10
H 0.500 0.500 0.000  -0.03
H 0.000 0.000 0.000  -0.03

Properties
raw total energy = -6.5707 eV/atom
volume = 18.5 Å³/atom
size of the total moment = 5.14 μB per formula unit


Sr5Si after structural relaxation. Source: Alexandria, functional PBE.

a = 7.425 Å, b = 7.425 Å, c = 10.141 Å
α = 66.30°, β = 66.30°, γ = 31.87°
Atoms (fractional coordinates):
Sr 0.500 0.500 0.000
Sr 0.879 0.879 0.382
Sr 0.163 0.163 0.232
Sr 0.121 0.121 0.618
Sr 0.837 0.837 0.768
Si 0.500 0.500 0.500

Properties
formation energy from raw total energies = -0.0704 eV/atom
offset from the most stable computed form = 0.0 meV per atom
volume = 44.7 Å³/atom
size of the total moment = 0.00 μB per formula unit


Ca2Cd5 after structural relaxation. Source: Alexandria, functional PBE.

a = 6.594 Å, b = 7.819 Å, c = 8.710 Å
α = 116.67°, β = 112.24°, γ = 90.00°
Atoms (fractional coordinates):
Cd 0.868 0.633 0.736
Cd 0.132 0.367 0.264
Cd 0.750 0.500 0.000
Cd 0.978 0.728 0.457
Cd 0.250 0.500 0.000
Cd 0.632 0.898 0.264
Cd 0.022 0.272 0.543
Cd 0.368 0.102 0.736
Cd 0.478 0.728 0.457
Cd 0.522 0.272 0.543
Ca 0.901 0.083 0.802
Ca 0.099 0.917 0.198
Ca 0.599 0.281 0.198
Ca 0.401 0.719 0.802

Properties
calculated formation energy = -25.8 kJ per mole of atoms
volume = 26.0 Å³/atom
size of the total moment = 0.00 μB per formula unit


AgPb after structural relaxation. Source: Alexandria, functional PBE.

a = 5.199 Å, b = 5.199 Å, c = 5.199 Å
α = 60.00°, β = 60.00°, γ = 60.00°
Atoms (fractional coordinates):
Ag 0.250 0.250 0.250
Ag 0.000 0.000 0.000
Pb 0.750 0.750 0.750
Pb 0.500 0.500 0.500

Properties
calculated formation energy = 22.6 kJ per mole of atoms
volume = 24.8 Å³/atom
size of the total moment = 0.00 μB per formula unit


PrSc2Zn after structural relaxation. Source: Alexandria, functional PBE.

a = 4.657 Å, b = 4.567 Å, c = 4.567 Å
α = 90.00°, β = 90.00°, γ = 90.00°
Last column: magnetic moment on the atom in μB.
Atoms (fractional coordinates):
Zn 0.500 0.500 0.500  -0.01
Pr 0.500 0.000 0.000  0.10
Sc 0.000 0.000 0.500  0.12
Sc 0.000 0.500 0.000  0.12

Properties
calculated formation energy = -2.9 kJ per mole of atoms
offset from the most stable computed form = 117.9 meV per atom
volume = 24.3 Å³/atom
size of the total moment = 0.52 μB per formula unit


CeScTlHg after structural relaxation. Source: Alexandria, functional PBE.

a = 5.278 Å, b = 5.278 Å, c = 5.278 Å
α = 60.00°, β = 60.00°, γ = 60.00°
Last column: magnetic moment on the atom in μB.
Atoms (fractional coordinates):
Ce 0.500 0.500 0.500  0.86
Tl 0.750 0.750 0.750  0.00
Hg 0.250 0.250 0.250  0.03
Sc 0.000 0.000 0.000  0.34

Properties
calculated formation energy = -27.7 kJ per mole of atoms
volume = 26.0 Å³/atom
size of the total moment = 1.65 μB per formula unit